A plane-wave DFT calculation with PBE-GGA was carried out for a relaxed Si2PSe crystal.

Calculated values
**Energy relative to the lowest polymorph listed for this composition**: 0.501 eV per atom
**Total energy**: -17.91 eV for the cell shown
**Crystal system**: tetragonal
**Formation energy from raw total energies**: 0.457 eV per atom

```
data_Si2PSe
_symmetry_space_group_name_H-M 'P 1'
_symmetry_Int_Tables_number 1
_symmetry_space_group_name_Hall 'P 1'
_cell_length_a 2.962
_cell_length_b 2.962
_cell_length_c 8.563
_cell_angle_alpha 90.00
_cell_angle_beta 90.00
_cell_angle_gamma 90.00
loop_
_atom_site_label
_atom_site_type_symbol
_atom_site_fract_x
_atom_site_fract_y
_atom_site_fract_z
_atom_site_occupancy
P1 P 0.000 0.000 0.397 1
Se1 Se 0.500 0.500 0.821 1
Si1 Si 0.000 0.000 0.040 1
Si2 Si 0.500 0.500 0.242 1
```


A plane-wave DFT calculation with PBE-GGA was carried out for a relaxed Si2PSe crystal.

Calculated values
**Energy relative to the lowest polymorph listed for this composition**: 0.709 eV per atom
**Total energy**: -17.08 eV for the cell shown
**Crystal system**: cubic
**Formation energy from raw total energies**: 0.664 eV per atom

```
data_Si2PSe
_symmetry_space_group_name_H-M 'P 1'
_symmetry_Int_Tables_number 1
_symmetry_space_group_name_Hall 'P 1'
_cell_length_a 4.476
_cell_length_b 4.476
_cell_length_c 4.476
_cell_angle_alpha 60.00
_cell_angle_beta 60.00
_cell_angle_gamma 60.00
loop_
_atom_site_label
_atom_site_type_symbol
_atom_site_fract_x
_atom_site_fract_y
_atom_site_fract_z
_atom_site_occupancy
P1 P 0.500 0.500 0.500 1
Se1 Se 0.250 0.250 0.250 1
Si1 Si 0.000 0.000 0.000 1
Si2 Si 0.750 0.750 0.750 1
```


A plane-wave DFT calculation with PBE-GGA was carried out for a relaxed Si2PSe crystal.

Calculated values
**Energy relative to the lowest polymorph listed for this composition**: 0.220 eV per atom
**Total energy**: -19.04 eV for the cell shown
**Crystal system**: monoclinic
**Formation energy from raw total energies**: 0.175 eV per atom

```
data_Si2PSe
_symmetry_space_group_name_H-M 'P 1'
_symmetry_Int_Tables_number 1
_symmetry_space_group_name_Hall 'P 1'
_cell_length_a 5.582
_cell_length_b 5.582
_cell_length_c 5.335
_cell_angle_alpha 93.03
_cell_angle_beta 93.03
_cell_angle_gamma 35.58
loop_
_atom_site_label
_atom_site_type_symbol
_atom_site_fract_x
_atom_site_fract_y
_atom_site_fract_z
_atom_site_occupancy
P1 P 0.479 0.479 0.751 1
Se1 Se 0.227 0.227 0.270 1
Si1 Si 0.108 0.108 0.884 1
Si2 Si 0.686 0.686 0.595 1
```